Record 1
Computed, not measured: a relaxed structure of Zn3SiPd at the PBE-GGA level of DFT.

## Properties
calculated volume = 107 Å³ per cell
space group = No. 221
formation energy without anion corrections = 0.4615 eV/atom
E above lowest polymorph = 0 meV per atom
DOS(E_F) = 0.5708 states/eV per atom

Lattice parameters (Å, degrees): 4.7475 4.7475 4.7475 90.00 90.00 90.00
Atoms (fractional coordinates):
Zn 0.0000 0.5000 0.0000
Zn 0.0000 0.0000 0.5000
Zn 0.5000 0.0000 0.0000
Si 0.5000 0.5000 0.5000
Pd 0.0000 0.0000 0.0000

=====

Record 2
Computed, not measured: a relaxed structure of CaNbI2N at the PBE-GGA level of DFT.

## Properties
calculated volume = 136 Å³ per cell
space group = No. 123
formation energy without anion corrections = -0.3412 eV/atom
E above lowest polymorph = 0 meV per atom
DOS(E_F) = 0.5109 states/eV per atom

Lattice parameters (Å, degrees): 5.8289 5.8289 3.9892 90.00 90.00 90.00
Each line ends with the local moment (μB).
Atoms (fractional coordinates):
I 0.0000 0.5000 0.0000  0.00
I 0.5000 0.0000 0.0000  0.00
Nb 0.0000 0.0000 0.0000  0.89
Ca 0.5000 0.5000 0.5000  0.04
N 0.0000 0.0000 0.5000  -0.08

=====

Record 3
Computed, not measured: a relaxed structure of Ga3AsRh at the PBE-GGA level of DFT.

## Properties
calculated volume = 114 Å³ per cell
space group = No. 221
E above lowest polymorph = 759 meV per atom
DOS(E_F) = 0.9434 states/eV per atom

Lattice parameters (Å, degrees): 4.8470 4.8470 4.8470 90.00 90.00 90.00
Atoms (fractional coordinates):
As 0.0000 0.0000 0.0000
Rh 0.5000 0.5000 0.5000
Ga 0.0000 0.5000 0.0000
Ga 0.0000 0.0000 0.5000
Ga 0.5000 0.0000 0.0000

=====

Record 4
Computed, not measured: a relaxed structure of SmCu6Si2 at the PBE-GGA level of DFT.

## Properties
calculated volume = 130 Å³ per cell
space group = No. 123
formation energy without anion corrections = -0.2945 eV/atom
DOS(E_F) = 0.5217 states/eV per atom

Lattice parameters (Å, degrees): 4.0872 4.0872 7.7771 90.00 90.00 90.00
Atoms (fractional coordinates):
Sm 0.0000 0.0000 0.0000
Cu 0.0000 0.5000 0.3099
Cu 0.5000 0.0000 0.3099
Cu 0.0000 0.5000 0.6901
Cu 0.5000 0.0000 0.6901
Cu 0.5000 0.5000 0.5000
Cu 0.0000 0.0000 0.5000
Si 0.5000 0.5000 0.1542
Si 0.5000 0.5000 0.8458

=====

Record 5
Computed, not measured: a relaxed structure of Pm2CdAu3 at the PBE-GGA level of DFT.

## Properties
calculated volume = 282 Å³ per cell
space group = No. 69
E above lowest polymorph = 34 meV per atom
DOS(E_F) = 0.7140 states/eV per atom

Lattice parameters (Å, degrees): 5.9661 5.9661 9.0375 103.08 103.08 108.32
Atoms (fractional coordinates):
Pm 0.2500 0.7500 0.5000
Pm 0.7552 0.7552 0.0000
Pm 0.7500 0.2500 0.5000
Pm 0.2448 0.2448 0.0000
Cd 0.6667 0.6667 0.3335
Cd 0.3333 0.3333 0.6665
Au 0.3364 0.8313 0.1677
Au 0.1687 0.6636 0.8323
Au 0.6636 0.1687 0.8323
Au 0.8313 0.3364 0.1677
Au 0.1671 0.1671 0.3341
Au 0.8329 0.8329 0.6659

=====

Record 6
Computed, not measured: a relaxed structure of RbTlAg at the PBE-GGA level of DFT.

## Properties
calculated volume = 219 Å³ per cell
space group = No. 2
E above lowest polymorph = 0 meV per atom
DOS(E_F) = 0.6987 states/eV per atom

Lattice parameters (Å, degrees): 5.0102 6.8368 8.9197 50.28 73.76 89.93
Atoms (fractional coordinates):
Rb 0.0868 0.4163 0.1005
Rb 0.3325 0.2119 0.6082
Tl 0.6209 0.9766 0.0302
Tl 0.7984 0.6513 0.6784
Ag 0.0030 0.7971 0.2675
Ag 0.4164 0.8313 0.4409

=====

Record 7
Computed, not measured: a relaxed structure of BiS2F4 at the PBE-GGA level of DFT.

## Properties
calculated volume = 131 Å³ per cell
space group = No. 2
formation energy without anion corrections = -1.4651 eV/atom
DOS(E_F) = 0.0736 states/eV per atom

Lattice parameters (Å, degrees): 4.1775 3.8756 9.3355 87.04 119.73 90.10
Each line ends with the local moment (μB).
Atoms (fractional coordinates):
S 0.9821 0.1575 0.4181  -0.29
S 0.0179 0.8425 0.5819  -0.29
Bi 0.0000 0.0000 0.0000  0.00
F 0.1796 0.4823 0.1660  -0.01
F 0.8204 0.5177 0.8340  -0.01
F 0.3266 0.0089 0.8425  -0.01
F 0.6734 0.9911 0.1575  -0.01

=====

Record 8
Computed, not measured: a relaxed structure of Cr2PRu at the PBE-GGA level of DFT.

## Properties
calculated volume = 48 Å³ per cell
space group = No. 123
DOS(E_F) = 0.6584 states/eV per atom
total energy = -8.6343 eV per atom

Lattice parameters (Å, degrees): 2.7519 2.7519 6.3558 90.00 90.00 89.99
Atoms (fractional coordinates):
Cr 0.0000 0.0000 0.0286
Cr 0.0000 0.0000 0.4714
P 0.5000 0.5000 0.2500
Ru 0.5000 0.5000 0.7500

=====

Record 9
Computed, not measured: a relaxed structure of PrTmPb at the PBE-GGA level of DFT.

## Properties
calculated volume = 94 Å³ per cell
space group = No. 107
DOS(E_F) = 0.8056 states/eV per atom
total energy = -4.6002 eV per atom

Lattice parameters (Å, degrees): 3.6479 3.6479 7.5062 104.06 104.06 90.00
Atoms (fractional coordinates):
Pb 0.0047 0.0047 0.0093
Pr 0.3397 0.3397 0.6793
Tm 0.6557 0.6557 0.3113

=====

Record 10
Computed, not measured: a relaxed structure of TlSiF4 at the PBE-GGA level of DFT.

## Properties
calculated volume = 278 Å³ per cell
space group = No. 15
formation energy without anion corrections = -2.4287 eV/atom
E above lowest polymorph = 0 meV per atom
DOS(E_F) = 0.1978 states/eV per atom

Lattice parameters (Å, degrees): 4.8217 4.8217 16.3524 85.11 85.11 47.29
Atoms (fractional coordinates):
Tl 0.0000 0.5000 0.5000
Tl 0.5000 0.0000 0.0000
Si 0.1821 0.8179 0.7500
Si 0.8179 0.1821 0.2500
F 0.9052 0.8063 0.2765
F 0.3753 0.5581 0.6729
F 0.6247 0.4419 0.3271
F 0.8063 0.9052 0.7765
F 0.1937 0.0948 0.2235
F 0.4419 0.6247 0.8271
F 0.5581 0.3753 0.1729
F 0.0948 0.1937 0.7235

=====

Record 11
Computed, not measured: a relaxed structure of CaMoPb2 at the PBE-GGA level of DFT.

## Properties
calculated volume = 108 Å³ per cell
space group = No. 216
E above lowest polymorph = 385 meV per atom
DOS(E_F) = 0.8963 states/eV per atom

Lattice parameters (Å, degrees): 5.3436 5.3436 5.3436 60.00 60.00 60.00
Each line ends with the local moment (μB).
Atoms (fractional coordinates):
Pb 0.0000 0.0000 0.0000  -0.04
Pb 0.2500 0.2500 0.2500  -0.06
Mo 0.7500 0.7500 0.7500  2.85
Ca 0.5000 0.5000 0.5000  0.09

=====

Record 12
Computed, not measured: a relaxed structure of CsDySiS4 at the PBE-GGA level of DFT.

## Properties
calculated volume = 778 Å³ per cell
space group = No. 19
formation energy without anion corrections = -1.4494 eV/atom
E above lowest polymorph = 0 meV per atom
DOS(E_F) = 0.0000 states/eV per atom

Lattice parameters (Å, degrees): 6.4251 6.7345 17.9889 90.00 90.00 90.00
Atoms (fractional coordinates):
Cs 0.4833 0.4937 0.9676
Cs 0.0167 0.5063 0.4676
Cs 0.9833 0.0063 0.0323
Cs 0.5167 0.9937 0.5324
Dy 0.2907 0.4774 0.2284
Dy 0.2093 0.5226 0.7284
Dy 0.7907 0.0226 0.7716
Dy 0.7093 0.9774 0.2716
Si 0.7906 0.5168 0.1698
Si 0.7094 0.4832 0.6698
Si 0.2906 0.9832 0.8302
Si 0.2094 0.0168 0.3302
S 0.0527 0.5116 0.0986
S 0.4473 0.4884 0.5986
S 0.5527 0.9884 0.9014
S 0.9473 0.0116 0.4014
S 0.6049 0.4224 0.7798
S 0.8951 0.5776 0.2798
S 0.1049 0.0776 0.2202
S 0.3951 0.9224 0.7202
S 0.5671 0.7457 0.1485
S 0.9329 0.2543 0.6485
S 0.0671 0.7543 0.8515
S 0.4329 0.2457 0.3515
S 0.6053 0.2528 0.1587
S 0.8947 0.7472 0.6587
S 0.1053 0.2472 0.8413
S 0.3947 0.7528 0.3413

=====

Question: Among the records above, which one has the lowest calculated volume?
Answer: Cr2PRu

=====

Question: Look up the calculated volume of the tenth one.
Answer: 278 Å³ per cell

=====

Question: calculated volume of number 7 (BiS2F4)?
Answer: 131 Å³ per cell

=====

Question: What is the calculated volume in the eleventh record?
Answer: 108 Å³ per cell